# SrAg6Pb6 (PBE, optimized geometry)
data_SrAg6Pb6
_chemical_formula_sum 'Sr2 Ag12 Pb12'
_symmetry_space_group_name_H-M 'I m m m'
_symmetry_Int_Tables_number 71
_symmetry_space_group_name_Hall '-I 2 2'
_cell_length_a 5.951
_cell_length_b 10.439
_cell_length_c 10.505
_cell_angle_alpha 90.00
_cell_angle_beta 90.00
_cell_angle_gamma 90.00
loop_
_atom_site_label
_atom_site_fract_x
_atom_site_fract_y
_atom_site_fract_z
Sr1 0.000 0.000 0.000
Ag1 0.000 0.266 0.500
Ag2 0.250 0.250 0.250
Pb1 0.000 0.000 0.344
Pb2 0.000 0.346 0.000
Pb3 0.000 0.500 0.322
# Total magnetic moment: 0.0 μB per cell
# Formation energy from the elements: -0.062 eV/atom

---

# SrAgPb (PBE, optimized geometry)
data_SrAgPb
_chemical_formula_sum 'Sr2 Ag2 Pb2'
_symmetry_space_group_name_H-M 'P 1 21/m 1'
_symmetry_Int_Tables_number 11
_cell_length_a 4.913
_cell_length_b 5.208
_cell_length_c 7.178
_cell_angle_alpha 90.00
_cell_angle_beta 109.94
_cell_angle_gamma 90.00
loop_
_symmetry_equiv_pos_as_xyz
'x,y,z'
'-x,-y,-z'
'-x,y+1/2,-z'
'x,-y+1/2,z'
loop_
_atom_site_label
_atom_site_fract_x
_atom_site_fract_y
_atom_site_fract_z
Sr1 0.101 0.250 0.200
Ag1 0.243 0.750 0.487
Pb1 0.386 0.250 0.773
# Total magnetic moment: 0.0 μB per cell
# Formation energy from the elements: -0.312 eV/atom

---

# SrAgPb3 (PBE, optimized geometry)
data_SrAgPb3
_chemical_formula_sum 'Sr2 Ag2 Pb6'
_symmetry_space_group_name_H-M 'P 1'
_symmetry_Int_Tables_number 1
_cell_length_a 6.641
_cell_length_b 6.881
_cell_length_c 6.913
_cell_angle_alpha 90.03
_cell_angle_beta 90.00
_cell_angle_gamma 90.01
loop_
_symmetry_equiv_pos_as_xyz
'x,y,z'
loop_
_atom_site_label
_atom_site_fract_x
_atom_site_fract_y
_atom_site_fract_z
Sr1 0.000 0.000 0.000
Sr2 0.447 0.501 0.500
Ag1 0.633 0.998 0.687
Ag2 0.814 0.498 0.187
Pb1 0.097 0.500 0.879
Pb2 0.349 0.001 0.379
Pb3 0.501 0.253 0.002
Pb4 0.501 0.746 0.004
Pb5 0.945 0.246 0.504
Pb6 0.946 0.753 0.503
# Total magnetic moment: 0.0 μB per cell
# Formation energy from the elements: -0.188 eV/atom

---

# SrAgPb3 (PBE, optimized geometry)
data_SrAgPb3
_chemical_formula_sum 'Sr1 Ag1 Pb3'
_symmetry_space_group_name_H-M 'P m -3 m'
_symmetry_Int_Tables_number 221
_symmetry_space_group_name_Hall '-P 4 2 3'
_cell_length_a 5.606
_cell_length_b 5.606
_cell_length_c 5.606
_cell_angle_alpha 90.00
_cell_angle_beta 90.00
_cell_angle_gamma 90.00
loop_
_atom_site_label
_atom_site_fract_x
_atom_site_fract_y
_atom_site_fract_z
Sr1 0.000 0.000 0.000
Ag1 0.500 0.500 0.500
Pb1 0.000 0.500 0.500
# Total magnetic moment: 0.0 μB per cell
# Formation energy from the elements: 0.025 eV/atom

---

# Sr3AgPb2 (PBE, optimized geometry)
data_Sr3AgPb2
_chemical_formula_sum 'Sr12 Ag4 Pb8'
_symmetry_space_group_name_H-M 'P n m a'
_symmetry_Int_Tables_number 62
_cell_length_a 13.507
_cell_length_b 4.981
_cell_length_c 12.631
_cell_angle_alpha 90.00
_cell_angle_beta 90.00
_cell_angle_gamma 90.00
loop_
_symmetry_equiv_pos_as_xyz
'x,y,z'
'-x,-y,-z'
'-x+1/2,-y,z+1/2'
'x+1/2,y,-z+1/2'
'x+1/2,-y+1/2,-z+1/2'
'-x+1/2,y+1/2,z+1/2'
'-x,y+1/2,-z'
'x,-y+1/2,z'
loop_
_atom_site_label
_atom_site_fract_x
_atom_site_fract_y
_atom_site_fract_z
Sr1 0.050 0.250 0.123
Sr2 0.122 0.750 0.562
Sr3 0.219 0.250 0.806
Ag1 0.123 0.250 0.379
Pb1 0.017 0.750 0.309
Pb2 0.194 0.750 0.008
# Total magnetic moment: 0.0 μB per cell
# Formation energy from the elements: -0.465 eV/atom

---

# SrAg9Pb2 (PBE, optimized geometry)
data_SrAg9Pb2
_chemical_formula_sum 'Sr3 Ag27 Pb6'
_symmetry_space_group_name_H-M 'R -3 m'
_symmetry_Int_Tables_number 166
_symmetry_space_group_name_Hall '-R 3 2"'
_cell_length_a 5.7642
_cell_length_b 5.7642
_cell_length_c 27.6864
_cell_angle_alpha 90.00
_cell_angle_beta 90.00
_cell_angle_gamma 120.00
loop_
_atom_site_label
_atom_site_fract_x
_atom_site_fract_y
_atom_site_fract_z
Sr1 0.0000 0.0000 0.0000
Ag1 0.0000 0.0000 0.3338
Ag2 0.0000 0.0000 0.5000
Ag3 0.0032 0.5016 0.9158
Pb1 0.0000 0.0000 0.1446
# Total magnetic moment: 0.0 μB per cell
# Formation energy from the elements: -0.068 eV/atom

---

# Sr2Ag2Pb (PBE, optimized geometry)
data_Sr2Ag2Pb
_chemical_formula_sum 'Sr8 Ag8 Pb4'
_symmetry_space_group_name_H-M 'C 1 2/c 1'
_symmetry_Int_Tables_number 15
_cell_length_a 10.949
_cell_length_b 6.186
_cell_length_c 9.032
_cell_angle_alpha 90.00
_cell_angle_beta 105.54
_cell_angle_gamma 90.00
loop_
_symmetry_equiv_pos_as_xyz
'x,y,z'
'-x,-y,-z'
'-x,y,-z+1/2'
'x,-y,z+1/2'
'x+1/2,y+1/2,z'
'-x+1/2,-y+1/2,-z'
'-x+1/2,y+1/2,-z+1/2'
'x+1/2,-y+1/2,z+1/2'
loop_
_atom_site_label
_atom_site_fract_x
_atom_site_fract_y
_atom_site_fract_z
Sr1 0.150 0.149 0.149
Ag1 0.138 0.363 0.493
Pb1 0.000 0.318 0.750
# Total magnetic moment: 0.0 μB per cell
# Formation energy from the elements: -0.390 eV/atom

---

# Sr4AgPb (PBE, optimized geometry)
data_Sr4AgPb
_chemical_formula_sum 'Sr16 Ag4 Pb4'
_symmetry_space_group_name_H-M 'F -4 3 m'
_symmetry_Int_Tables_number 216
_symmetry_space_group_name_Hall 'F -4 2 3'
_cell_length_a 10.058
_cell_length_b 10.058
_cell_length_c 10.058
_cell_angle_alpha 90.00
_cell_angle_beta 90.00
_cell_angle_gamma 90.00
loop_
_atom_site_label
_atom_site_fract_x
_atom_site_fract_y
_atom_site_fract_z
Sr1 0.124 0.124 0.376
Ag1 0.000 0.000 0.000
Pb1 0.250 0.250 0.750
# Total magnetic moment: 0.0 μB per cell
# Formation energy from the elements: 0.354 eV/atom

---

# Sr2AgPb3 (PBE, optimized geometry)
data_Sr2AgPb3
_chemical_formula_sum 'Sr4 Ag2 Pb6'
_symmetry_space_group_name_H-M 'C 1 m 1'
_symmetry_Int_Tables_number 8
_cell_length_a 12.142
_cell_length_b 5.215
_cell_length_c 8.035
_cell_angle_alpha 90.00
_cell_angle_beta 131.27
_cell_angle_gamma 90.00
loop_
_symmetry_equiv_pos_as_xyz
'x,y,z'
'x,-y,z'
'x+1/2,y+1/2,z'
'x+1/2,-y+1/2,z'
loop_
_atom_site_label
_atom_site_fract_x
_atom_site_fract_y
_atom_site_fract_z
Sr1 0.000 0.000 0.000
Sr2 0.095 0.000 0.597
Ag1 0.371 0.000 0.175
Pb1 0.184 0.500 0.404
Pb2 0.224 0.500 0.037
Pb3 0.386 0.000 0.570
# Total magnetic moment: 0.0 μB per cell
# Formation energy from the elements: -0.366 eV/atom

---

# Sr3Ag2Pb2 (PBE, optimized geometry)
data_Sr3Ag2Pb2
_chemical_formula_sum 'Sr6 Ag4 Pb4'
_symmetry_space_group_name_H-M 'C 1 2/m 1'
_symmetry_Int_Tables_number 12
_cell_length_a 12.170
_cell_length_b 4.874
_cell_length_c 8.161
_cell_angle_alpha 90.00
_cell_angle_beta 107.96
_cell_angle_gamma 90.00
loop_
_symmetry_equiv_pos_as_xyz
'x,y,z'
'-x,-y,-z'
'-x,y,-z'
'x,-y,z'
'x+1/2,y+1/2,z'
'-x+1/2,-y+1/2,-z'
'-x+1/2,y+1/2,-z'
'x+1/2,-y+1/2,z'
loop_
_atom_site_label
_atom_site_fract_x
_atom_site_fract_y
_atom_site_fract_z
Sr1 0.000 0.000 0.000
Sr2 0.171 0.000 0.644
Ag1 0.189 0.500 0.937
Pb1 0.041 0.500 0.335
# Total magnetic moment: 0.0 μB per cell
# Formation energy from the elements: -0.416 eV/atom

---

# Sr4Ag3Pb (PBE, optimized geometry)
data_Sr4Ag3Pb
_chemical_formula_sum 'Sr8 Ag6 Pb2'
_symmetry_space_group_name_H-M 'I 4/m m m'
_symmetry_Int_Tables_number 139
_symmetry_space_group_name_Hall '-I 4 2'
_cell_length_a 5.662
_cell_length_b 5.662
_cell_length_c 15.769
_cell_angle_alpha 90.00
_cell_angle_beta 90.00
_cell_angle_gamma 90.00
loop_
_atom_site_label
_atom_site_fract_x
_atom_site_fract_y
_atom_site_fract_z
Sr1 0.000 0.500 0.125
Ag1 0.000 0.000 0.000
Ag2 0.000 0.000 0.249
Pb1 0.000 0.000 0.500
# Total magnetic moment: 0.0 μB per cell
# Formation energy from the elements: -0.350 eV/atom

---

# Sr7Ag2Pb2 (PBE, optimized geometry)
data_Sr7Ag2Pb2
_chemical_formula_sum 'Sr14 Ag4 Pb4'
_symmetry_space_group_name_H-M 'C m m m'
_symmetry_Int_Tables_number 65
_symmetry_space_group_name_Hall '-C 2 2'
_cell_length_a 8.913
_cell_length_b 12.461
_cell_length_c 8.125
_cell_angle_alpha 90.00
_cell_angle_beta 90.00
_cell_angle_gamma 90.00
loop_
_atom_site_label
_atom_site_fract_x
_atom_site_fract_y
_atom_site_fract_z
Sr1 0.000 0.000 0.000
Sr2 0.000 0.500 0.248
Sr3 0.250 0.250 0.267
Ag1 0.000 0.291 0.000
Pb1 0.177 0.000 0.500
# Total magnetic moment: 0.0 μB per cell
# Formation energy from the elements: -0.212 eV/atom